(1)
# Si4Pd5Rh4 PBE optimized geometry
data_Si4Pd5Rh4
_space_group_name_H-M_alt 'I 4/m'
_space_group_IT_number 87
_space_group_name_Hall '-I 4'
_cell_length_a 9.710
_cell_length_b 9.710
_cell_length_c 3.907
_cell_angle_alpha 90.00
_cell_angle_beta 90.00
_cell_angle_gamma 90.00
loop_
_atom_site_label
_atom_site_type_symbol
_atom_site_fract_x
_atom_site_fract_y
_atom_site_fract_z
Si1 Si 0.086 0.248 0.000
Pd1 Pd 0.000 0.000 0.000
Pd2 Pd 0.114 0.814 0.500
Rh1 Rh 0.100 0.389 0.500
# **Formation energy (no corrections)**: -0.61 eV/atom
# **Total energy**: -84.95 eV/f.u.
# **Theoretical density**: 9.52 g/cm³

(2)
# SiPdRh PBE optimized geometry
data_SiPdRh
_space_group_name_H-M_alt 'F -4 3 m'
_space_group_IT_number 216
_space_group_name_Hall 'F -4 2 3'
_cell_length_a 5.660
_cell_length_b 5.660
_cell_length_c 5.660
_cell_angle_alpha 90.00
_cell_angle_beta 90.00
_cell_angle_gamma 90.00
loop_
_atom_site_label
_atom_site_type_symbol
_atom_site_fract_x
_atom_site_fract_y
_atom_site_fract_z
Si1 Si 0.000 0.000 0.000
Pd1 Pd 0.250 0.250 0.250
Rh1 Rh 0.250 0.250 0.750
# **Formation energy (no corrections)**: -0.73 eV/atom
# **Total energy**: -20.14 eV/f.u.
# **Theoretical density**: 8.70 g/cm³